DFT (GGA-PBE) results for crystalline Zr2In2Se at its relaxed geometry.

abc: 7.0726 7.0726 4.6751
angles: 90.00 90.00 90.00
Last column: nearest neighbours and their distance in Å.
Fractional positions:
Zr: 0.1616 0.3384 0.0000  2 Se 2.65
Zr: 0.3384 0.8384 0.0000  2 Se 2.65
Zr: 0.6616 0.1616 0.0000  2 Se 2.65
Zr: 0.8384 0.6616 0.0000  2 Se 2.65
In: 0.1486 0.6486 0.5000  1 In 2.97, 6 Zr 3.01-3.21
In: 0.3514 0.1486 0.5000  1 In 2.97, 6 Zr 3.01-3.21
In: 0.6486 0.8514 0.5000  1 In 2.97, 6 Zr 3.01-3.21
In: 0.8514 0.3514 0.5000  1 In 2.97, 6 Zr 3.01-3.21
Se: 0.0000 0.0000 0.0000  4 Zr 2.65
Se: 0.5000 0.5000 0.0000  4 Zr 2.65

SG ... P4/mbm (127)
Electronic total energy ... -0.42194 Ry/atom